(1)
A plane-wave DFT calculation with PBE was carried out for a geometry-optimized Ca2SiSb2 structure.

Output
Uncorrected formation energy, eV/atom: -0.45
Total moment, μB per atom: 0.00

Unit cell a=7.771 b=7.771 c=4.545 alpha=90.00 beta=90.00 gamma=90.00
Space group P4/mbm (No. 127)
Asymmetric unit:
Ca: 0.168 0.332 0.000 [4 per cell]
Si: 0.000 0.000 0.500 [2 per cell]
Sb: 0.140 0.640 0.500 [4 per cell]

=====

(2)
A plane-wave DFT calculation with PBE was carried out for a geometry-optimized Ca5Si2Sb2 structure.

Output
Uncorrected formation energy, eV/atom: -0.70
Total moment, μB per atom: 0.06

Unit cell a=15.809 b=8.118 c=8.010 alpha=90.00 beta=90.00 gamma=90.00
Space group Cmce (No. 64)
Asymmetric unit:
Ca: 0.000 0.000 0.000 [4 per cell]
Ca: 0.136 0.176 0.326 [16 per cell]
Si: 0.000 0.103 0.605 [8 per cell]
Sb: 0.203 0.000 0.000 [8 per cell]

=====

(3)
A plane-wave DFT calculation with PBE was carried out for a geometry-optimized CaSi2Sb2 structure.

Output
Uncorrected formation energy, eV/atom: 0.11
Total moment, μB per atom: 0.00

Unit cell a=4.391 b=4.391 c=13.200 alpha=90.00 beta=90.00 gamma=90.00
Space group I4/mmm (No. 139)
Asymmetric unit:
Ca: 0.000 0.000 0.000 [2 per cell]
Si: 0.000 0.000 0.415 [4 per cell]
Sb: 0.000 0.500 0.250 [4 per cell]

=====

(4)
A plane-wave DFT calculation with PBE was carried out for a geometry-optimized CaSi2Sb2 structure.

Output
Uncorrected formation energy, eV/atom: 0.01
Total moment, μB per atom: 0.00

Unit cell a=7.644 b=7.644 c=3.975 alpha=90.00 beta=90.00 gamma=90.00
Space group P4/mbm (No. 127)
Asymmetric unit:
Ca: 0.000 0.000 0.000 [2 per cell]
Si: 0.113 0.387 0.000 [4 per cell]
Sb: 0.182 0.682 0.500 [4 per cell]

=====

(5)
A plane-wave DFT calculation with PBE was carried out for a geometry-optimized CaSi2TcSb structure.

Output
Uncorrected formation energy, eV/atom: 0.05
Total moment, μB per atom: 0.00

Unit cell a=4.583 b=4.583 c=5.806 alpha=90.00 beta=90.00 gamma=90.00
Space group P4/mmm (No. 123)
Asymmetric unit:
Ca: 0.000 0.000 0.000 [1 per cell]
Si: 0.000 0.500 0.500 [2 per cell]
Tc: 0.500 0.500 0.500 [1 per cell]
Sb: 0.500 0.500 0.000 [1 per cell]

=====

(6)
A plane-wave DFT calculation with PBE was carried out for a geometry-optimized CaSiSb2Te structure.

Output
Uncorrected formation energy, eV/atom: 0.04
Total moment, μB per atom: 0.00
Offset from the most stable computed form, meV/atom: 0

Unit cell a=5.274 b=5.274 c=5.411 alpha=90.00 beta=90.00 gamma=90.00
Space group P4/mmm (No. 123)
Asymmetric unit:
Ca: 0.000 0.000 0.000 [1 per cell]
Si: 0.500 0.500 0.500 [1 per cell]
Sb: 0.000 0.500 0.500 [2 per cell]
Te: 0.500 0.500 0.000 [1 per cell]

=====

(7)
A plane-wave DFT calculation with PBE was carried out for a geometry-optimized CaSiSb2Te structure.

Output
Uncorrected formation energy, eV/atom: 0.87
Total moment, μB per atom: 0.00
Offset from the most stable computed form, meV/atom: 837

Unit cell a=5.702 b=5.702 c=5.687 alpha=90.00 beta=90.00 gamma=90.00
Space group P4/mmm (No. 123)
Asymmetric unit:
Ca: 0.000 0.000 0.000 [1 per cell]
Si: 0.500 0.500 0.500 [1 per cell]
Sb: 0.000 0.500 0.000 [2 per cell]
Te: 0.000 0.000 0.500 [1 per cell]

=====

(8)
A plane-wave DFT calculation with PBE was carried out for a geometry-optimized CaTlSi2Sb structure.

Output
Uncorrected formation energy, eV/atom: 0.66
Total moment, μB per atom: 0.00

Unit cell a=5.280 b=5.280 c=5.710 alpha=90.00 beta=90.00 gamma=90.00
Space group P4/mmm (No. 123)
Asymmetric unit:
Ca: 0.000 0.000 0.000 [1 per cell]
Tl: 0.500 0.500 0.000 [1 per cell]
Si: 0.000 0.500 0.500 [2 per cell]
Sb: 0.500 0.500 0.500 [1 per cell]

=====

(9)
A plane-wave DFT calculation with PBE was carried out for a geometry-optimized CaZr2SiSb structure.

Output
Uncorrected formation energy, eV/atom: -0.07
Total moment, μB per atom: 0.00

Unit cell a=5.021 b=5.021 c=5.242 alpha=90.00 beta=90.00 gamma=90.00
Space group P4/mmm (No. 123)
Asymmetric unit:
Ca: 0.000 0.000 0.000 [1 per cell]
Zr: 0.000 0.500 0.500 [2 per cell]
Si: 0.000 0.000 0.500 [1 per cell]
Sb: 0.500 0.500 0.000 [1 per cell]

=====

(10)
A plane-wave DFT calculation with PBE was carried out for a geometry-optimized CaSmSb2 structure.

Output
Uncorrected formation energy, eV/atom: -0.92
Total moment, μB per atom: 0.00
Offset from the most stable computed form, meV/atom: 21

Unit cell a=4.402 b=4.578 c=6.364 alpha=90.00 beta=90.00 gamma=90.00
Space group Pmmm (No. 47)
Asymmetric unit:
Ca: 0.000 0.000 0.000 [1 per cell]
Sm: 0.500 0.500 0.500 [1 per cell]
Sb: 0.000 0.000 0.500 [1 per cell]
Sb: 0.500 0.500 0.000 [1 per cell]

=====

(11)
A plane-wave DFT calculation with PBE was carried out for a geometry-optimized CaSmSb2 structure.

Output
Uncorrected formation energy, eV/atom: -0.86
Total moment, μB per atom: 0.00
Offset from the most stable computed form, meV/atom: 79

Unit cell a=5.789 b=5.789 c=3.413 alpha=90.00 beta=90.00 gamma=90.00
Space group P4/mmm (No. 123)
Asymmetric unit:
Ca: 0.000 0.000 0.000 [1 per cell]
Sm: 0.500 0.500 0.000 [1 per cell]
Sb: 0.000 0.500 0.500 [2 per cell]

=====

(12)
A plane-wave DFT calculation with PBE was carried out for a geometry-optimized CaSmSb2 structure.

Output
Uncorrected formation energy, eV/atom: -0.84
Total moment, μB per atom: 0.00
Offset from the most stable computed form, meV/atom: 94

Unit cell a=4.090 b=4.090 c=6.863 alpha=90.00 beta=90.00 gamma=90.00
Space group P4/mmm (No. 123)
Asymmetric unit:
Ca: 0.000 0.000 0.000 [1 per cell]
Sm: 0.000 0.000 0.500 [1 per cell]
Sb: 0.500 0.500 0.257 [2 per cell]

=====

(13)
A plane-wave DFT calculation with PBE was carried out for a geometry-optimized CaSmSb2 structure.

Output
Uncorrected formation energy, eV/atom: -0.86
Total moment, μB per atom: 0.00
Offset from the most stable computed form, meV/atom: 76

Unit cell a=4.6644 b=4.6644 c=21.1276 alpha=90.00 beta=90.00 gamma=120.00
Space group R3m (No. 160, hexagonal axes)
Asymmetric unit:
Ca: 0.0000 0.0000 0.0000 [3 per cell]
Sm: 0.0000 0.0000 0.1745 [3 per cell]
Sb: 0.0000 0.0000 0.4219 [3 per cell]
Sb: 0.0000 0.0000 0.5836 [3 per cell]

=====

(14)
A plane-wave DFT calculation with PBE was carried out for a geometry-optimized CaSm3Sb3 structure.

Output
Uncorrected formation energy, eV/atom: -0.94
Total moment, μB per atom: 0.00
Offset from the most stable computed form, meV/atom: 91

Unit cell a=9.2296 b=9.2296 c=18.7869 alpha=90.00 beta=90.00 gamma=120.00
Space group R-3 (No. 148, hexagonal axes)
Asymmetric unit:
Ca: 0.0000 0.0000 0.1671 [6 per cell]
Sm: 0.0052 0.2717 0.5865 [18 per cell]
Sb: 0.0066 0.3833 0.4194 [18 per cell]

=====

(15)
A plane-wave DFT calculation with PBE was carried out for a geometry-optimized CaSmSb structure.

Output
Uncorrected formation energy, eV/atom: -0.51
Total moment, μB per atom: 0.00

Unit cell a=5.0353 b=5.0353 c=4.2770 alpha=90.00 beta=90.00 gamma=120.00
Space group P3m1 (No. 156)
Asymmetric unit:
Ca: 0.0000 0.0000 0.0000 [1 per cell]
Sm: 0.3333 0.6667 0.5431 [1 per cell]
Sb: 0.6667 0.3333 0.2073 [1 per cell]

=====

(16)
A plane-wave DFT calculation with PBE was carried out for a geometry-optimized CaSm2Sb structure.

Output
Uncorrected formation energy, eV/atom: -0.38
Total moment, μB per atom: 0.00
Offset from the most stable computed form, meV/atom: 78

Unit cell a=4.1638 b=4.1638 c=30.0581 alpha=90.00 beta=90.00 gamma=120.00
Space group R-3m (No. 166, hexagonal axes)
Asymmetric unit:
Ca: 0.0000 0.0000 0.0000 [3 per cell]
Sm: 0.0000 0.0000 0.2299 [6 per cell]
Sb: 0.0000 0.0000 0.5000 [3 per cell]

=====

(17)
A plane-wave DFT calculation with PBE was carried out for a geometry-optimized CaSm5Sb4 structure.

Output
Uncorrected formation energy, eV/atom: -0.72
Total moment, μB per atom: 0.00

Unit cell a=19.160 b=4.391 c=8.724 alpha=90.00 beta=105.80 gamma=90.00
Space group C2/m (No. 12)
Asymmetric unit:
Ca: 0.000 0.000 0.000 [2 per cell]
Sm: 0.000 0.000 0.500 [2 per cell]
Sm: 0.162 0.500 0.832 [4 per cell]
Sm: 0.174 0.500 0.346 [4 per cell]
Sb: 0.007 0.500 0.258 [4 per cell]
Sb: 0.171 0.000 0.092 [4 per cell]

=====

(18)
A plane-wave DFT calculation with PBE was carried out for a geometry-optimized CaSm4Sb5 structure.

Output
Uncorrected formation energy, eV/atom: -1.09
Total moment, μB per atom: 0.00

Unit cell a=4.473 b=6.342 c=22.491 alpha=90.00 beta=90.00 gamma=90.00
Space group Immm (No. 71)
Asymmetric unit:
Ca: 0.000 0.000 0.000 [2 per cell]
Sm: 0.000 0.000 0.200 [4 per cell]
Sm: 0.000 0.000 0.401 [4 per cell]
Sb: 0.000 0.500 0.000 [2 per cell]
Sb: 0.000 0.500 0.199 [4 per cell]
Sb: 0.000 0.500 0.397 [4 per cell]

=====

(19)
A plane-wave DFT calculation with PBE was carried out for a geometry-optimized CaSmSb structure.

Output
Uncorrected formation energy, eV/atom: -0.39
Total moment, μB per atom: 0.00

Unit cell a=4.9890 b=4.9890 c=31.6021 alpha=90.00 beta=90.00 gamma=120.00
Space group R-3m (No. 166, hexagonal axes)
Asymmetric unit:
Ca: 0.0000 0.0000 0.1984 [6 per cell]
Sm: 0.0000 0.0000 0.0594 [6 per cell]
Sb: 0.0000 0.0000 0.4263 [6 per cell]

=====

(20)
A plane-wave DFT calculation with PBE was carried out for a geometry-optimized CaSm3Sb3 structure.

Output
Uncorrected formation energy, eV/atom: -1.03
Total moment, μB per atom: 0.00
Offset from the most stable computed form, meV/atom: 0

Unit cell a=9.424 b=9.424 c=9.424 alpha=90.00 beta=90.00 gamma=90.00
Space group P2_13 (No. 198)
Asymmetric unit:
Ca: 0.071 0.429 0.571 [4 per cell]
Sm: 0.073 0.573 0.927 [4 per cell]
Sm: 0.178 0.178 0.178 [4 per cell]
Sm: 0.181 0.819 0.319 [4 per cell]
Sb: 0.001 0.751 0.622 [12 per cell]